No. 1
## ScAgSe2Cl (GGA-PBE)

Data for ScAgSe2Cl after structural relaxation.

Summary:
Space-group type ... P4/mmm (123)
Magnetization ... 0.0000 μB per atom
Uncorrected formation energy ... -0.19 eV/atom
DOS at the Fermi energy ... 2.32 states/eV/f.u.

a b c (Å): 4.915 9.908 4.915
angles (deg): 90.00 90.00 90.00
Atoms (fractional coordinates):
1 Se 0.000 0.000 0.500
2 Se 0.500 0.000 0.000
3 Ag 0.000 0.500 0.000
4 Cl 0.500 0.500 0.500
5 Sc 0.000 0.000 0.000

---

No. 2
## SrScAgCl6 (GGA-PBE)

Data for SrScAgCl6 after structural relaxation.

Summary:
Space-group type ... P-31c (163)
Magnetization ... 0.0000 μB per atom
Uncorrected formation energy ... -1.83 eV/atom
DOS at the Fermi energy ... 0.00 states/eV/f.u.

a b c (Å): 6.972 6.972 11.789
angles (deg): 90.00 90.00 120.00
Atoms (fractional coordinates):
1 Ag 0.000 0.000 0.500
2 Ag 0.000 0.000 0.000
3 Cl 0.043 0.367 0.628
4 Cl 0.676 0.043 0.372
5 Cl 0.367 0.043 0.128
6 Cl 0.043 0.676 0.872
7 Cl 0.324 0.367 0.872
8 Cl 0.633 0.957 0.872
9 Cl 0.633 0.676 0.628
10 Cl 0.957 0.324 0.128
11 Cl 0.324 0.957 0.628
12 Cl 0.957 0.633 0.372
13 Cl 0.676 0.633 0.128
14 Cl 0.367 0.324 0.372
15 Sr 0.333 0.667 0.250
16 Sr 0.667 0.333 0.750
17 Sc 0.667 0.333 0.250
18 Sc 0.333 0.667 0.750

---

No. 3
## AgSeCl2 (GGA-PBE)

Data for AgSeCl2 after structural relaxation.

Summary:
Energy above the lowest structure with this stoichiometry ... 16.2 kJ/mol of atoms
Space-group type ... I-4m2 (119)
Magnetization ... 0.0000 μB per atom
Uncorrected formation energy ... 0.04 eV/atom
DOS at the Fermi energy ... 2.47 states/eV/f.u.

a b c (Å): 8.016 8.016 8.016
angles (deg): 153.03 153.03 38.51
Atoms (fractional coordinates):
1 Se 0.500 0.500 0.000
2 Ag 0.750 0.250 0.500
3 Cl 0.250 0.750 0.500
4 Cl 0.000 0.000 0.000

---

No. 4
## Ag2SeCl (GGA-PBE)

Data for Ag2SeCl after structural relaxation.

Summary:
Energy above the lowest structure with this stoichiometry ... 33.1 kJ/mol of atoms
Space-group type ... Fm-3m (225)
Magnetization ... 0.2178 μB per atom
Uncorrected formation energy ... 0.11 eV/atom
DOS at the Fermi energy ... 7.66 states/eV/f.u.

a b c (Å): 4.857 4.857 4.857
angles (deg): 60.00 60.00 60.00
Each line ends with the local moment (μB).
Atoms (fractional coordinates):
1 Se 0.500 0.500 0.500  0.33
2 Ag 0.750 0.750 0.750  0.10
3 Ag 0.250 0.250 0.250  0.10
4 Cl 0.000 0.000 0.000  0.14

---

No. 5
## AgSeCl (GGA-PBE)

Data for AgSeCl after structural relaxation.

Summary:
Energy above the lowest structure with this stoichiometry ... 27.5 kJ/mol of atoms
Space-group type ... P3m1 (156)
Magnetization ... 0.0000 μB per atom
Uncorrected formation energy ... 0.03 eV/atom
DOS at the Fermi energy ... 3.42 states/eV/f.u.

a b c (Å): 3.790 3.790 5.507
angles (deg): 90.00 90.00 120.00
Atoms (fractional coordinates):
1 Ag 0.000 0.000 0.994
2 Se 0.333 0.667 0.727
3 Cl 0.667 0.333 0.279

---

No. 6
## Ag3SeCl2 (GGA-PBE)

Data for Ag3SeCl2 after structural relaxation.

Summary:
Energy above the lowest structure with this stoichiometry ... 0.0 kJ/mol of atoms
Space-group type ... C2/c (15)
Magnetization ... 0.0000 μB per atom
Uncorrected formation energy ... -0.26 eV/atom
DOS at the Fermi energy ... 2.66 states/eV/f.u.

a b c (Å): 5.714 7.440 7.002
angles (deg): 105.42 114.08 90.00
Atoms (fractional coordinates):
1 Se 0.999 0.250 0.000
2 Se 0.001 0.750 0.000
3 Cl 0.320 0.910 0.639
4 Cl 0.680 0.090 0.361
5 Cl 0.681 0.590 0.361
6 Cl 0.319 0.410 0.639
7 Ag 0.498 0.250 0.000
8 Ag 0.502 0.750 0.000
9 Ag 0.159 0.080 0.318
10 Ag 0.159 0.580 0.318
11 Ag 0.841 0.920 0.682
12 Ag 0.841 0.420 0.682

---

No. 7
## Ag5Se2Cl (GGA-PBE)

Data for Ag5Se2Cl after structural relaxation.

Summary:
Space-group type ... C2/m (12)
Magnetization ... 0.0000 μB per atom
Uncorrected formation energy ... -0.12 eV/atom

a b c (Å): 5.057 5.057 7.757
angles (deg): 108.54 108.54 90.12
Atoms (fractional coordinates):
1 Ag 0.067 0.643 0.265
2 Ag 0.357 0.933 0.735
3 Ag 0.000 0.000 0.000
4 Ag 0.933 0.357 0.735
5 Ag 0.643 0.067 0.265
6 Cl 0.500 0.500 0.000
7 Se 0.801 0.801 0.630
8 Se 0.199 0.199 0.370

---

No. 8
## AgSeCl2 (GGA-PBE)

Data for AgSeCl2 after structural relaxation.

Summary:
Energy above the lowest structure with this stoichiometry ... 47.3 kJ/mol of atoms
Space-group type ... Fm-3m (225)
Magnetization ... 0.6887 μB per atom
Uncorrected formation energy ... 0.36 eV/atom
DOS at the Fermi energy ... 5.09 states/eV/f.u.

a b c (Å): 5.025 5.025 5.025
angles (deg): 60.00 60.00 60.00
Each line ends with the local moment (μB).
Atoms (fractional coordinates):
1 Cl 0.250 0.250 0.250  0.29
2 Cl 0.750 0.750 0.750  0.29
3 Se 0.000 0.000 0.000  1.29
4 Ag 0.500 0.500 0.500  0.07

---

No. 9
## Ag2SeCl (GGA-PBE)

Data for Ag2SeCl after structural relaxation.

Summary:
Energy above the lowest structure with this stoichiometry ... 10.6 kJ/mol of atoms
Space-group type ... P2/m (10)
Magnetization ... 0.0000 μB per atom
Uncorrected formation energy ... -0.13 eV/atom
DOS at the Fermi energy ... 2.09 states/eV/f.u.

a b c (Å): 3.423 3.715 6.983
angles (deg): 88.64 90.00 90.00
Atoms (fractional coordinates):
1 Ag 0.000 0.171 0.958
2 Ag 0.000 0.329 0.542
3 Se 0.500 0.750 0.750
4 Cl 0.500 0.250 0.250

---

No. 10
## AgSeCl6 (GGA-PBE)

Data for AgSeCl6 after structural relaxation.

Summary:
Space-group type ... P-1 (2)
Magnetization ... 0.0000 μB per atom
Uncorrected formation energy ... -0.23 eV/atom
DOS at the Fermi energy ... 4.75 states/eV/f.u.

a b c (Å): 6.179 6.723 7.097
angles (deg): 57.83 63.44 62.18
Atoms (fractional coordinates):
1 Cl 0.631 0.204 0.216
2 Cl 0.095 0.396 0.761
3 Cl 0.369 0.796 0.784
4 Cl 0.236 0.897 0.260
5 Cl 0.905 0.604 0.239
6 Cl 0.764 0.103 0.740
7 Ag 0.500 0.500 0.500
8 Se 0.000 0.000 0.000

---

No. 11
## AgSeCl2 (GGA-PBE)

Data for AgSeCl2 after structural relaxation.

Summary:
Energy above the lowest structure with this stoichiometry ... 2.9 kJ/mol of atoms
Space-group type ... R-3m (166)
Magnetization ... 0.0000 μB per atom
Uncorrected formation energy ... -0.10 eV/atom
DOS at the Fermi energy ... 2.59 states/eV/f.u.

a b c (Å): 8.345 8.345 8.345
angles (deg): 26.41 26.41 26.41
Atoms (fractional coordinates):
1 Cl 0.100 0.100 0.100
2 Cl 0.900 0.900 0.900
3 Ag 0.500 0.500 0.500
4 Se 0.000 0.000 0.000

---

No. 12
## AgSeCl2 (GGA-PBE)

Data for AgSeCl2 after structural relaxation.

Summary:
Energy above the lowest structure with this stoichiometry ... 13.7 kJ/mol of atoms
Space-group type ... Pmm2 (25)
Magnetization ... 0.0000 μB per atom
Uncorrected formation energy ... 0.01 eV/atom
DOS at the Fermi energy ... 3.52 states/eV/f.u.

a b c (Å): 3.205 6.340 4.961
angles (deg): 90.00 90.00 90.00
Atoms (fractional coordinates):
1 Cl 0.500 0.500 0.130
2 Cl 0.000 0.000 0.085
3 Ag 0.500 0.500 0.630
4 Se 0.000 0.000 0.655

---

- What is the formula in the sixth record?
  Ag3SeCl2

---

- Which value of magnetization does entry 12 give?
  0.0000 μB per atom